Computed, not measured: an optimized crystal structure of Sm3ErZn8 at the GGA-PBE level of DFT.

Values from the calculation:
Total magnetization in μB per formula unit: 0.0
E_form in eV/atom: -0.312

Cell: 5.610 5.610 8.677 Å, 90.00 90.00 120.00°
Fractional coordinates of all 12 atoms:
1 Zn 0.002 0.501 0.748
2 Zn 0.166 0.834 0.253
3 Zn 0.499 0.501 0.748
4 Zn 0.668 0.834 0.253
5 Zn 0.333 0.667 0.498
6 Zn 0.499 0.998 0.748
7 Zn 0.166 0.332 0.253
8 Zn 0.333 0.667 0.001
9 Er 0.000 0.000 0.557
10 Sm 0.667 0.333 0.444
11 Sm 0.667 0.333 0.053
12 Sm 0.000 0.000 0.945

=====

Computed, not measured: an optimized crystal structure of Sm3ErZn2 at the GGA-PBE level of DFT.

Values from the calculation:
Total magnetization in μB per formula unit: 0.0
E_form in eV/atom: -0.212

Cell: 5.134 6.728 9.264 Å, 90.00 90.00 90.00°
Fractional coordinates of all 12 atoms:
1 Zn 0.500 0.219 0.154
2 Zn 0.000 0.282 0.651
3 Zn 0.500 0.719 0.846
4 Zn 0.000 0.782 0.349
5 Sm 0.000 0.490 0.945
6 Sm 0.000 0.326 0.333
7 Sm 0.000 0.990 0.055
8 Sm 0.500 0.170 0.824
9 Sm 0.000 0.826 0.667
10 Sm 0.500 0.670 0.176
11 Er 0.500 0.013 0.445
12 Er 0.500 0.513 0.555

=====

Computed, not measured: an optimized crystal structure of SmEr4Zn at the GGA-PBE level of DFT.

Values from the calculation:
Total magnetization in μB per formula unit: 0.0
E_form in eV/atom: 0.000

Cell: 6.144 8.936 8.062 Å, 114.45 100.20 111.60°
Fractional coordinates of all 12 atoms:
1 Er 0.036 0.165 0.780
2 Er 0.245 0.615 0.780
3 Er 0.765 0.714 0.637
4 Er 0.755 0.385 0.220
5 Er 0.964 0.835 0.220
6 Er 0.235 0.286 0.363
7 Er 0.372 0.923 0.637
8 Er 0.628 0.077 0.363
9 Sm 0.651 0.401 0.802
10 Sm 0.349 0.599 0.198
11 Zn 0.250 0.000 0.999
12 Zn 0.750 0.000 0.001

=====

no.,DFT total energy (eV per atom),DOS at the Fermi energy (states/eV per atom),E above lowest polymorph (eV/atom)
1,-2.722,0.599,0.0140
2,-3.757,0.580,0.0000
3,-4.040,1.372,0.0976